VASP calculation (PBE) on CaReTcRu2 after structural relaxation.

As for the magnetization: 4.20 μB/f.u. The value obtained for the energy relative to the elements is 1726 meV per atom.

The space group is P4/mmm (No. 123) and the conventional cell measures 4.6774, 4.6774 and 5.1675 Å, with angles of 90.00, 90.00 and 90.00 degrees. The inequivalent atoms are Ca at (0.0000, 0.0000, 0.0000), Re at (0.0000, 0.0000, 0.5000), Tc at (0.5000, 0.5000, 0.0000) and Ru at (0.0000, 0.5000, 0.5000).

***

VASP calculation (PBE) on NbAl2Tl after structural relaxation.

Its excess energy over the best structure of this formula in the dataset is 0 meV/atom. As for the magnetization: 0.00 μB/f.u. The value obtained for the energy relative to the elements is 491 meV per atom.

The space group is I-42d (No. 122) and the conventional cell measures 7.5533, 7.5533 and 5.7784 Å, with angles of 90.00, 90.00 and 90.00 degrees. The inequivalent atoms are Nb at (0.0000, 0.0000, 0.0000), Al at (0.2437, 0.7500, 0.1250) and Tl at (0.0000, 0.0000, 0.5000).

***

VASP calculation (PBE) on CsNa2AgF after structural relaxation.

As for the magnetization: 0.00 μB/f.u.

The space group is P4/mmm (No. 123) and the conventional cell measures 4.9681, 4.9681 and 5.9159 Å, with angles of 90.00, 90.00 and 90.00 degrees. The inequivalent atoms are Cs at (0.0000, 0.0000, 0.0000), Na at (0.0000, 0.5000, 0.5000), Ag at (0.5000, 0.5000, 0.0000) and F at (0.0000, 0.0000, 0.5000).

***

VASP calculation (PBE) on TiCoNiPd after structural relaxation.

As for the magnetization: 0.64 μB/f.u. The value obtained for the energy relative to the elements is -234 meV per atom.

The space group is F-43m (No. 216) and the conventional cell measures 5.9470, 5.9470 and 5.9470 Å, with angles of 90.00, 90.00 and 90.00 degrees. The inequivalent atoms are Ti at (0.0000, 0.0000, 0.0000), Co at (0.2500, 0.2500, 0.2500), Ni at (0.2500, 0.2500, 0.7500) and Pd at (0.0000, 0.0000, 0.5000).

***

VASP calculation (PBE) on Li6TbSn6 after structural relaxation.

Its excess energy over the best structure of this formula in the dataset is 9 meV/atom. As for the magnetization: 0.00 μB/f.u. The value obtained for the energy relative to the elements is -366 meV per atom.

The space group is P6/mmm (No. 191) and the conventional cell measures 5.8043, 5.8043 and 9.3160 Å, with angles of 90.00, 90.00 and 120.00 degrees. The inequivalent atoms are Li at (0.0000, 0.5000, 0.2464), Tb at (0.0000, 0.0000, 0.0000), Sn at (0.0000, 0.0000, 0.3465), Sn at (0.3333, 0.6667, 0.0000) and Sn at (0.3333, 0.6667, 0.5000).

***

VASP calculation (PBE) on PrB2F8 after structural relaxation.

As for the magnetization: 1.00 μB/f.u.

The space group is C2/m (No. 12) and the conventional cell measures 9.9224, 5.0334 and 6.1579 Å, with angles of 90.00, 113.98 and 90.00 degrees. The inequivalent atoms are Pr at (0.0000, 0.0000, 0.0000), B at (0.1949, 0.0000, 0.6930), F at (0.1331, 0.2250, 0.7557), F at (0.1476, 0.5000, 0.1789) and F at (0.1611, 0.0000, 0.4468).

***

Number 1: uncorrected energy -34.7 eV/cell. Number 2: uncorrected energy -71.8 eV/cell. Number 3: uncorrected energy -12.8 eV/cell. Number 4: uncorrected energy -107.6 eV/cell. Number 5: uncorrected energy -44.9 eV/cell. Number 6: uncorrected energy -131.0 eV/cell.